# IrW2Se

A crystal of IrW2Se relaxed with PBEsol (meta-GGA SCAN, the Alexandria database).

Properties
Energy ... -57.253 eV per atom
SG ... No. 10
Excess energy over the best structure of this formula in the dataset ... 51 meV/atom
Size of the total moment ... 0.0 μB/cell
Raw formation energy ... 385 meV/atom

```
IrW2Se
1.0
-1.749 1.325 -1.756
2.346 -1.119 -3.181
-1.990 -5.113 0.330
Ir Se W
1 1 2
Cartesian
0.298 0.103 -2.469
-0.697 -2.453 -2.303
-2.977 -2.716 -1.240
-0.763 -1.072 -0.186
```

***

# Ir4WSe

A crystal of Ir4WSe relaxed with PBEsol (meta-GGA SCAN, the Alexandria database).

Properties
Energy ... -61.533 eV per atom
SG ... No. 216
Size of the total moment ... 0.0 μB/cell
Raw formation energy ... 827 meV/atom

```
Ir4WSe
1.0
5.122 0.000 0.000
2.561 4.436 0.000
2.561 1.479 4.182
Ir Se W
4 1 1
Cartesian
3.840 2.217 1.568
5.122 2.957 3.662
6.404 2.217 1.568
5.122 4.438 1.568
7.683 4.436 3.137
0.000 0.000 0.000
```

***

# IrWSe2

A crystal of IrWSe2 relaxed with PBEsol (meta-GGA SCAN, the Alexandria database).

Properties
Energy ... -45.086 eV per atom
SG ... No. 71
Excess energy over the best structure of this formula in the dataset ... 0 meV/atom
Size of the total moment ... 0.0 μB/cell
Raw formation energy ... 150 meV/atom

```
IrWSe2
1.0
-0.180 -2.518 2.684
2.688 -2.159 -1.846
2.963 5.118 2.470
Ir Se W
1 2 1
Cartesian
1.344 -1.080 -0.923
2.977 1.962 2.040
2.494 -1.522 1.269
-0.090 -1.259 1.342
```

***

# YIr2Se

A crystal of YIr2Se relaxed with PBEsol (meta-GGA SCAN, the Alexandria database).

Properties
Energy ... -47.832 eV per atom
SG ... No. 122
Size of the total moment ... 0.0 μB/cell
Raw formation energy ... -302 meV/atom

```
YIr2Se
1.0
4.642 0.000 0.000
0.000 4.642 0.000
-2.321 -2.321 8.081
Y Ir Se
2 4 2
Cartesian
0.000 2.321 4.040
0.000 0.000 0.000
2.820 1.160 2.020
1.822 3.481 2.020
1.160 0.499 6.061
-1.160 -0.499 6.061
2.321 0.000 4.040
2.321 2.321 0.000
```

***

# YIr2Se

A crystal of YIr2Se relaxed with PBEsol (meta-GGA SCAN, the Alexandria database).

Properties
Energy ... -47.751 eV per atom
SG ... No. 12
Size of the total moment ... 0.0 μB/cell
Raw formation energy ... -221 meV/atom

```
YIr2Se
1.0
-2.355 -1.015 -1.645
2.919 -0.787 -3.571
0.508 -3.576 4.240
Ir Se Y
2 1 1
Cartesian
0.536 -2.689 -0.488
0.254 -1.788 2.120
1.459 -0.393 -1.786
-1.178 -0.508 -0.823
```

***

# YIr2Se

A crystal of YIr2Se relaxed with PBEsol (meta-GGA SCAN, the Alexandria database).

Properties
Energy ... -47.834 eV per atom
SG ... No. 47
Size of the total moment ... 0.0 μB/cell
Raw formation energy ... -304 meV/atom

```
YIr2Se
1.0
-1.953 1.715 1.611
2.351 -0.991 3.907
2.747 3.780 -0.694
Ir Se Y
2 1 1
Cartesian
0.000 0.000 0.000
0.397 2.747 0.458
0.199 0.362 2.759
2.549 1.394 1.606
```

***

# YIr2Se

A crystal of YIr2Se relaxed with PBEsol (meta-GGA SCAN, the Alexandria database).

Properties
Energy ... -47.716 eV per atom
SG ... No. 123
Size of the total moment ... 0.0 μB/cell
Raw formation energy ... -187 meV/atom

```
YIr2Se
1.0
3.078 0.000 0.000
0.000 3.078 0.000
0.000 0.000 7.251
Ir Se Y
2 1 1
Cartesian
0.000 0.000 5.689
0.000 0.000 1.562
1.539 1.539 0.000
1.539 1.539 3.626
```

***

# ZnIr2Se

A crystal of ZnIr2Se relaxed with PBEsol (meta-GGA SCAN, the Alexandria database).

Properties
Energy ... -43.696 eV per atom
SG ... No. 8
Excess energy over the best structure of this formula in the dataset ... 0 meV/atom
Size of the total moment ... 0.0 μB/cell
Raw formation energy ... 252 meV/atom

```
ZnIr2Se
1.0
-1.265 -2.276 -1.266
3.112 -2.763 1.858
-3.340 1.810 3.392
Ir Se Zn
2 1 1
Cartesian
-4.260 -0.731 2.259
0.029 -1.497 2.662
1.068 -2.713 0.499
-2.011 -1.273 0.985
```

***

Question: Number 4 is which compound?
Answer: YIr2Se